No. 1
Entry from the Alexandria database: SrGaSnAu3 after structural relaxation (GGA-PBE).

The structure in CIF format:
```
data_SrGaSnAu3
_chemical_formula_sum 'Sr4 Ga4 Sn4 Au12'
_space_group_name_H-M_alt 'C m c m'
_space_group_IT_number 63
_space_group_name_Hall '-C 2c 2'
_cell_length_a 6.344
_cell_length_b 16.363
_cell_length_c 6.367
_cell_angle_alpha 90.00
_cell_angle_beta 90.00
_cell_angle_gamma 90.00
loop_
_atom_site_label
_atom_site_fract_x
_atom_site_fract_y
_atom_site_fract_z
_atom_site_occupancy
Sr1 0.000 0.181 0.250 1
Ga1 0.000 0.412 0.750 1
Sn1 0.000 0.094 0.750 1
Au1 0.000 0.258 0.750 1
Au2 0.236 0.500 0.000 1
```

Output
For the total energy, the calculation gives -3.45 eV/atom. The value obtained for the density of states at the Fermi level is 0.4384 states/eV/atom. For the energy relative to the elements, the calculation gives -0.36 eV per atom.

No. 2
Entry from the Alexandria database: SrGaSn2Au5 after structural relaxation (GGA-PBE).

The structure in CIF format:
```
data_SrGaSn2Au5
_chemical_formula_sum 'Sr2 Ga2 Sn4 Au10'
_space_group_name_H-M_alt 'I m m m'
_space_group_IT_number 71
_space_group_name_Hall '-I 2 2'
_cell_length_a 4.943
_cell_length_b 6.089
_cell_length_c 14.740
_cell_angle_alpha 90.00
_cell_angle_beta 90.00
_cell_angle_gamma 90.00
loop_
_atom_site_label
_atom_site_fract_x
_atom_site_fract_y
_atom_site_fract_z
_atom_site_occupancy
Sr1 0.000 0.000 0.000 1
Ga1 0.000 0.000 0.500 1
Sn1 0.000 0.500 0.194 1
Au1 0.000 0.263 0.357 1
Au2 0.000 0.500 0.000 1
```

Output
For the total energy, the calculation gives -3.50 eV/atom. The value obtained for the density of states at the Fermi level is 0.3725 states/eV/atom. For the energy relative to the elements, the calculation gives -0.27 eV per atom.

No. 3
Entry from the Alexandria database: Tl2GaSn6Au after structural relaxation (GGA-PBE).

The structure in CIF format:
```
data_Tl2GaSn6Au
_chemical_formula_sum 'Tl4 Ga2 Sn12 Au2'
_space_group_name_H-M_alt 'P m m n'
_space_group_IT_number 59
_cell_length_a 6.358
_cell_length_b 6.398
_cell_length_c 14.319
_cell_angle_alpha 90.00
_cell_angle_beta 90.00
_cell_angle_gamma 90.00
loop_
_space_group_symop_operation_xyz
'x,y,z'
'-x,-y,-z'
'-x+1/2,-y+1/2,z'
'x+1/2,y+1/2,-z'
'x+1/2,-y,-z'
'-x+1/2,y,z'
'-x,y+1/2,-z'
'x,-y+1/2,z'
loop_
_atom_site_label
_atom_site_fract_x
_atom_site_fract_y
_atom_site_fract_z
_atom_site_occupancy
Tl1 0.250 0.001 0.204 1
Ga1 0.250 0.750 0.840 1
Sn1 0.000 0.250 0.505 1
Sn2 0.004 0.250 0.993 1
Sn3 0.250 0.502 0.667 1
Au1 0.250 0.250 0.828 1
```

Output
For the total energy, the calculation gives -3.43 eV/atom. The value obtained for the density of states at the Fermi level is 0.4384 states/eV/atom. For the energy relative to the elements, the calculation gives 0.07 eV per atom.

No. 4
Entry from the Alexandria database: TlGaSnAu2 after structural relaxation (GGA-PBE).

The structure in CIF format:
```
data_TlGaSnAu2
_chemical_formula_sum 'Tl1 Ga1 Sn1 Au2'
_space_group_name_H-M_alt 'P 4/m m m'
_space_group_IT_number 123
_space_group_name_Hall '-P 4 2'
_cell_length_a 4.954
_cell_length_b 4.954
_cell_length_c 5.440
_cell_angle_alpha 90.00
_cell_angle_beta 90.00
_cell_angle_gamma 90.00
loop_
_atom_site_label
_atom_site_fract_x
_atom_site_fract_y
_atom_site_fract_z
_atom_site_occupancy
Tl1 0.000 0.000 0.000 1
Ga1 0.500 0.500 0.500 1
Sn1 0.500 0.500 0.000 1
Au1 0.000 0.500 0.500 1
```

Output
For the total energy, the calculation gives -3.03 eV/atom. The value obtained for the density of states at the Fermi level is 0.2903 states/eV/atom. For the energy relative to the elements, the calculation gives 0.16 eV per atom. Its energy above the most stable polymorph in this dataset is 25.9 kJ/mol of atoms.

No. 5
Entry from the Alexandria database: TlGaSnAu2 after structural relaxation (GGA-PBE).

The structure in CIF format:
```
data_TlGaSnAu2
_chemical_formula_sum 'Tl4 Ga4 Sn4 Au8'
_space_group_name_H-M_alt 'C 1 2/m 1'
_space_group_IT_number 12
_space_group_name_Hall '-C 2y'
_cell_length_a 15.413
_cell_length_b 4.441
_cell_length_c 8.409
_cell_angle_alpha 90.00
_cell_angle_beta 121.89
_cell_angle_gamma 90.00
loop_
_atom_site_label
_atom_site_fract_x
_atom_site_fract_y
_atom_site_fract_z
_atom_site_occupancy
Tl1 0.248 0.000 0.171 1
Ga1 0.053 0.500 0.885 1
Sn1 0.126 0.000 0.448 1
Au1 0.089 0.000 0.750 1
Au2 0.147 0.500 0.265 1
```

Output
For the total energy, the calculation gives -3.30 eV/atom. The value obtained for the density of states at the Fermi level is 0.3481 states/eV/atom. For the energy relative to the elements, the calculation gives -0.11 eV per atom. Its energy above the most stable polymorph in this dataset is 0.0 kJ/mol of atoms.

No. 6
Entry from the Alexandria database: TmGaSnAu after structural relaxation (GGA-PBE).

The structure in CIF format:
```
data_TmGaSnAu
_chemical_formula_sum 'Tm4 Ga4 Sn4 Au4'
_space_group_name_H-M_alt 'F -4 3 m'
_space_group_IT_number 216
_space_group_name_Hall 'F -4 2 3'
_cell_length_a 7.055
_cell_length_b 7.055
_cell_length_c 7.055
_cell_angle_alpha 90.00
_cell_angle_beta 90.00
_cell_angle_gamma 90.00
loop_
_atom_site_label
_atom_site_fract_x
_atom_site_fract_y
_atom_site_fract_z
_atom_site_occupancy
Tm1 0.000 0.000 0.000 1
Ga1 0.250 0.250 0.250 1
Sn1 0.000 0.000 0.500 1
Au1 0.250 0.250 0.750 1
```

Output
For the total energy, the calculation gives -4.10 eV/atom. The value obtained for the density of states at the Fermi level is 0.9333 states/eV/atom. For the energy relative to the elements, the calculation gives -0.41 eV per atom.

No. 7
Entry from the Alexandria database: YGa2Sn2Au7 after structural relaxation (GGA-PBE).

The structure in CIF format:
```
data_YGa2Sn2Au7
_chemical_formula_sum 'Y2 Ga4 Sn4 Au14'
_space_group_name_H-M_alt 'C 1 2/m 1'
_space_group_IT_number 12
_space_group_name_Hall '-C 2y'
_cell_length_a 7.240
_cell_length_b 6.380
_cell_length_c 10.803
_cell_angle_alpha 90.00
_cell_angle_beta 90.06
_cell_angle_gamma 90.00
loop_
_atom_site_label
_atom_site_fract_x
_atom_site_fract_y
_atom_site_fract_z
_atom_site_occupancy
Y1 0.000 0.000 0.000 1
Ga1 0.001 0.500 0.715 1
Sn1 0.001 0.000 0.342 1
Au1 0.000 0.500 0.000 1
Au2 0.193 0.500 0.499 1
Au3 0.250 0.250 0.169 1
```

Output
For the total energy, the calculation gives -3.90 eV/atom. The value obtained for the density of states at the Fermi level is 0.3241 states/eV/atom. For the energy relative to the elements, the calculation gives -0.27 eV per atom.

No. 8
Entry from the Alexandria database: ZnGaSnAu after structural relaxation (GGA-PBE).

The structure in CIF format:
```
data_ZnGaSnAu
_chemical_formula_sum 'Zn4 Ga4 Sn4 Au4'
_space_group_name_H-M_alt 'F -4 3 m'
_space_group_IT_number 216
_space_group_name_Hall 'F -4 2 3'
_cell_length_a 6.882
_cell_length_b 6.882
_cell_length_c 6.882
_cell_angle_alpha 90.00
_cell_angle_beta 90.00
_cell_angle_gamma 90.00
loop_
_atom_site_label
_atom_site_fract_x
_atom_site_fract_y
_atom_site_fract_z
_atom_site_occupancy
Zn1 0.000 0.000 0.000 1
Ga1 0.250 0.250 0.250 1
Sn1 0.250 0.250 0.750 1
Au1 0.000 0.000 0.500 1
```

Output
For the total energy, the calculation gives -2.85 eV/atom. The value obtained for the density of states at the Fermi level is 0.5286 states/eV/atom. For the energy relative to the elements, the calculation gives 0.05 eV per atom.

No. 9
Entry from the Alexandria database: Sr3GaAu after structural relaxation (GGA-PBE).

The structure in CIF format:
```
data_Sr3GaAu
_chemical_formula_sum 'Sr3 Ga1 Au1'
_space_group_name_H-M_alt 'P m -3 m'
_space_group_IT_number 221
_space_group_name_Hall '-P 4 2 3'
_cell_length_a 6.004
_cell_length_b 6.004
_cell_length_c 6.004
_cell_angle_alpha 90.00
_cell_angle_beta 90.00
_cell_angle_gamma 90.00
loop_
_atom_site_label
_atom_site_fract_x
_atom_site_fract_y
_atom_site_fract_z
_atom_site_occupancy
Sr1 0.000 0.000 0.500 1
Ga1 0.500 0.500 0.500 1
Au1 0.000 0.000 0.000 1
```

Output
For the total energy, the calculation gives -2.46 eV/atom. The value obtained for the density of states at the Fermi level is 1.1917 states/eV/atom. For the energy relative to the elements, the calculation gives -0.19 eV per atom. Its energy above the most stable polymorph in this dataset is 25.3 kJ/mol of atoms.

No. 10
Entry from the Alexandria database: Sr5Ga2Au2 after structural relaxation (GGA-PBE).

The structure in CIF format:
```
data_Sr5Ga2Au2
_chemical_formula_sum 'Sr20 Ga8 Au8'
_space_group_name_H-M_alt 'C m c e'
_space_group_IT_number 64
_space_group_name_Hall '-C 2ac 2'
_cell_length_a 16.776
_cell_length_b 8.347
_cell_length_c 8.477
_cell_angle_alpha 90.00
_cell_angle_beta 90.00
_cell_angle_gamma 90.00
loop_
_atom_site_label
_atom_site_fract_x
_atom_site_fract_y
_atom_site_fract_z
_atom_site_occupancy
Sr1 0.000 0.000 0.000 1
Sr2 0.142 0.172 0.332 1
Ga1 0.000 0.108 0.609 1
Au1 0.198 0.000 0.000 1
```

Output
For the total energy, the calculation gives -2.85 eV/atom. The value obtained for the density of states at the Fermi level is 0.9715 states/eV/atom. For the energy relative to the elements, the calculation gives -0.51 eV per atom.

No. 11
Entry from the Alexandria database: Sr3Ga8Au3 after structural relaxation (GGA-PBE).

The structure in CIF format:
```
data_Sr3Ga8Au3
_chemical_formula_sum 'Sr6 Ga16 Au6'
_space_group_name_H-M_alt 'C 1 2/m 1'
_space_group_IT_number 12
_space_group_name_Hall '-C 2y'
_cell_length_a 16.473
_cell_length_b 4.573
_cell_length_c 9.937
_cell_angle_alpha 90.00
_cell_angle_beta 126.37
_cell_angle_gamma 90.00
loop_
_atom_site_label
_atom_site_fract_x
_atom_site_fract_y
_atom_site_fract_z
_atom_site_occupancy
Sr1 0.000 0.000 0.000 1
Sr2 0.201 0.500 0.703 1
Ga1 0.002 0.500 0.310 1
Ga2 0.141 0.000 0.862 1
Ga3 0.142 0.000 0.422 1
Ga4 0.162 0.500 0.296 1
Au1 0.000 0.000 0.500 1
Au2 0.154 0.500 0.015 1
```

Output
For the total energy, the calculation gives -3.28 eV/atom. The value obtained for the density of states at the Fermi level is 0.3447 states/eV/atom. For the energy relative to the elements, the calculation gives -0.49 eV per atom. Its energy above the most stable polymorph in this dataset is 0.0 kJ/mol of atoms.

No. 12
Entry from the Alexandria database: Sr3Ga4Au7 after structural relaxation (GGA-PBE).

The structure in CIF format:
```
data_Sr3Ga4Au7
_chemical_formula_sum 'Sr6 Ga8 Au14'
_space_group_name_H-M_alt 'C 1 2/m 1'
_space_group_IT_number 12
_space_group_name_Hall '-C 2y'
_cell_length_a 16.847
_cell_length_b 4.555
_cell_length_c 9.803
_cell_angle_alpha 90.00
_cell_angle_beta 125.16
_cell_angle_gamma 90.00
loop_
_atom_site_label
_atom_site_fract_x
_atom_site_fract_y
_atom_site_fract_z
_atom_site_occupancy
Sr1 0.000 0.000 0.000 1
Sr2 0.179 0.500 0.683 1
Ga1 0.127 0.000 0.408 1
Ga2 0.177 0.500 0.036 1
Au1 0.000 0.000 0.500 1
Au2 0.001 0.500 0.267 1
Au3 0.135 0.000 0.871 1
Au4 0.182 0.500 0.311 1
```

Output
For the total energy, the calculation gives -3.44 eV/atom. The value obtained for the density of states at the Fermi level is 0.4282 states/eV/atom. For the energy relative to the elements, the calculation gives -0.57 eV per atom.